No. 1
28
Lattice="-2.651 1.186 -4.150 -6.933 -1.057 4.126 0.127 9.938 2.759" Properties=species:S:1:pos:R:3 comment="PBE-GGA PmAlCu5, relaxed" magmom_total_mub_per_fu=0.0 crystal_system=orthorhombic e_tot_ev_per_atom=-4.39 sg="No. 62" e_form_ev_per_atom=-0.25 pbc="T T T"
Al -6.432 3.735 0.540
Cu -8.207 5.056 2.051
Cu -1.884 2.552 0.387
Cu -4.107 7.968 0.264
Cu -0.383 6.836 2.162
Pm -2.219 9.414 2.562
Pm -5.734 5.047 3.560
Cu -2.324 9.839 -0.340
Cu -5.621 2.649 -1.798
Pm -7.237 0.654 0.173
Al -6.464 7.895 4.839
Cu -7.572 7.515 2.348
Cu -7.132 0.229 3.075
Pm -3.722 5.020 -0.824
Cu -1.249 5.012 0.684
Al -2.992 2.173 -2.104
Cu -7.779 2.653 2.599
Cu -3.625 3.886 1.881
Cu -4.681 10.243 1.281
Cu -5.349 2.100 2.471
Cu -9.073 3.232 0.574
Cu -5.129 7.997 2.508
Cu -4.775 -0.176 1.454
Cu -5.831 6.182 0.855
Cu -4.327 2.070 0.228
Cu -1.677 7.415 0.136
Cu -3.835 7.419 4.533
Al -3.024 6.333 2.196

***

No. 2
3
Lattice="-4.512 -5.191 0.203 -3.434 -5.049 2.770 -2.512 1.208 0.061" Properties=species:S:1:pos:R:3 comment="PBE-GGA SiAgMo, relaxed" magmom_total_mub_per_fu=0.0 crystal_system=orthorhombic raw_formation_energy_ev_per_atom=0.29 relative_energy_mev_per_atom=29 e_tot_ev_per_atom=-6.08 sg="No. 42" pbc="T T T"
Mo -4.249 -2.452 0.992
Ag -2.538 1.151 0.075
Si -6.182 -6.525 2.028

***

No. 3
11
Lattice="-4.663 -4.540 -2.308 3.518 -1.279 5.803 -5.033 5.394 2.907" Properties=species:S:1:pos:R:3 comment="PBE-GGA K2Er2BiS6, relaxed" magmom_total_mub_per_fu=0.0 crystal_system=monoclinic raw_formation_energy_ev_per_atom=-1.39 e_tot_ev_per_atom=-5.02 sg="No. 12" pbc="T T T"
S -2.390 2.961 4.214
S -4.346 -0.479 4.576
S -1.016 -2.280 4.936
K 2.163 -1.819 4.459
S -1.832 0.054 1.826
S -3.788 -3.385 2.188
Bi -2.516 2.697 1.454
S -5.162 1.856 1.466
Er -1.723 0.332 4.555
Er -4.455 -0.757 1.847
K -3.308 -4.000 -0.964